(1)
## TaNi6Sb (meta-GGA SCAN)

Data for a crystal of TaNi6Sb relaxed with PBEsol.

Output
- N(E_F) (states/eV/f.u.) = 5.45
- ρ (g/cm³) = 11.15

Lattice parameters (Å, degrees): 6.3204 6.3204 10.3436 90.00 90.00 109.30
Atoms (fractional coordinates):
Ni1 0.3791 0.1310 0.3700
Ni2 0.8731 0.6209 0.1216
Ni3 0.6209 0.8731 0.8784
Ni4 0.6209 0.8731 0.1216
Ni5 0.3791 0.1269 0.1216
Ni6 0.5000 0.5000 0.5000
Ni7 0.8690 0.6209 0.3700
Ni8 0.3791 0.1310 0.6300
Ni9 0.0000 0.0000 0.0000
Ni10 0.2525 0.7475 0.7571
Ni11 0.2525 0.7475 0.2429
Ni12 0.8690 0.6209 0.6300
Ni13 0.3791 0.1269 0.8784
Ni14 0.5000 0.5000 0.0000
Ni15 0.8731 0.6209 0.8784
Ni16 0.6209 0.8690 0.6300
Ni17 0.1310 0.3791 0.6300
Ni18 0.0000 0.0000 0.5000
Ni19 0.1269 0.3791 0.1216
Ni20 0.6209 0.8690 0.3700
Ni21 0.1269 0.3791 0.8784
Ni22 0.7475 0.2525 0.2429
Ni23 0.7475 0.2525 0.7571
Ni24 0.1310 0.3791 0.3700
Ta1 0.7456 0.2544 0.0000
Ta2 0.5000 0.5000 0.7494
Ta3 0.5000 0.5000 0.2506
Ta4 0.2544 0.7456 0.0000
Sb1 0.7483 0.2517 0.5000
Sb2 0.0000 0.0000 0.7505
Sb3 0.0000 0.0000 0.2495
Sb4 0.2517 0.7483 0.5000

(2)
## Tb2NiSb4 (meta-GGA SCAN)

Data for a crystal of Tb2NiSb4 relaxed with PBEsol.

Output
- N(E_F) (states/eV/f.u.) = 3.06
- ρ (g/cm³) = 8.52

Lattice parameters (Å, degrees): 4.2787 4.2787 9.1933 90.00 90.00 90.00
Atoms (fractional coordinates):
Tb1 0.0000 0.5000 0.7664
Tb2 0.5000 0.0000 0.2336
Sb1 0.0000 0.0000 0.5000
Sb2 0.5000 0.5000 0.5000
Sb3 0.0000 0.5000 0.1320
Sb4 0.5000 0.0000 0.8680
Ni1 0.5000 0.5000 0.0000

(3)
## TbNiSb2 (meta-GGA SCAN)

Data for a crystal of TbNiSb2 relaxed with PBEsol.

Output
- N(E_F) (states/eV/f.u.) = 2.54
- ρ (g/cm³) = 8.93

Lattice parameters (Å, degrees): 4.3058 4.3058 9.2478 90.00 90.00 90.00
Atoms (fractional coordinates):
Ni1 0.5000 0.5000 0.0000
Ni2 0.0000 0.0000 0.0000
Tb1 0.0000 0.5000 0.2375
Tb2 0.5000 0.0000 0.7625
Sb1 0.0000 0.0000 0.5000
Sb2 0.5000 0.0000 0.1427
Sb3 0.0000 0.5000 0.8573
Sb4 0.5000 0.5000 0.5000

(4)
## TbNiSb (meta-GGA SCAN)

Data for a crystal of TbNiSb relaxed with PBEsol.

Output
- ρ (g/cm³) = 9.13

Lattice parameters (Å, degrees): 4.4367 4.4367 4.4367 60.00 60.00 60.00
Atoms (fractional coordinates):
Tb1 0.5000 0.5000 0.5000
Sb1 0.0000 0.0000 0.0000
Ni1 0.2500 0.2500 0.2500

(5)
## Tb5Ni2Sb (meta-GGA SCAN)

Data for a crystal of Tb5Ni2Sb relaxed with PBEsol.

Output
- N(E_F) (states/eV/f.u.) = 6.30
- ρ (g/cm³) = 9.16

Lattice parameters (Å, degrees): 7.5695 8.4522 7.5695 63.40 90.00 116.60
Atoms (fractional coordinates):
Tb1 0.9794 0.2736 0.5206
Tb2 0.0206 0.7264 0.4794
Tb3 0.5000 0.0000 0.5000
Tb4 0.5206 0.7264 0.2942
Tb5 0.4794 0.2736 0.7058
Tb6 0.7058 0.7264 0.7942
Tb7 0.7942 0.2736 0.0206
Tb8 0.0000 0.0000 0.0000
Tb9 0.2942 0.2736 0.2058
Tb10 0.2058 0.7264 0.9794
Ni1 0.1292 0.0000 0.6292
Ni2 0.8708 0.0000 0.3708
Ni3 0.3708 0.0000 0.1292
Ni4 0.6292 0.0000 0.8708
Sb1 0.2500 0.5000 0.7500
Sb2 0.7500 0.5000 0.2500

(6)
## TcNiSb (meta-GGA SCAN)

Data for a crystal of TcNiSb relaxed with PBEsol.

Output
- distance to the lowest polymorph of the same formula (eV per formula unit) = 0.60
- N(E_F) (states/eV/f.u.) = 1.61
- ρ (g/cm³) = 9.93

Lattice parameters (Å, degrees): 3.0056 3.0056 5.9514 90.00 90.00 120.00
Atoms (fractional coordinates):
Sb1 0.3333 0.6667 0.6723
Ni1 0.0000 0.0000 0.0056
Tc1 0.6667 0.3333 0.3220

(7)
## Tc2NiSb (meta-GGA SCAN)

Data for a crystal of Tc2NiSb relaxed with PBEsol.

Output
- N(E_F) (states/eV/f.u.) = 3.91
- ρ (g/cm³) = 10.48

Lattice parameters (Å, degrees): 2.9200 4.8171 5.0256 115.05 101.44 101.08
Atoms (fractional coordinates):
Tc1 0.0000 0.0000 0.5000
Tc2 0.5000 0.5000 0.5000
Sb1 0.0000 0.5000 0.0000
Ni1 0.5000 0.0000 0.0000

(8)
## TcNi6Sb (meta-GGA SCAN)

Data for a crystal of TcNi6Sb relaxed with PBEsol.

Output
- N(E_F) (states/eV/f.u.) = 7.22
- ρ (g/cm³) = 10.01

Lattice parameters (Å, degrees): 6.2647 6.2647 10.2539 90.00 90.00 109.44
Site moments in Bohr magnetons follow the coordinates.
Atoms (fractional coordinates):
Tc1 0.7490 0.2510 0.0000  1.63
Tc2 0.5000 0.5000 0.2476  1.72
Tc3 0.2510 0.7490 0.0000  1.63
Tc4 0.5000 0.5000 0.7524  1.72
Sb1 0.2489 0.7511 0.5000  0.03
Sb2 0.0000 0.0000 0.7533  0.04
Sb3 0.7511 0.2489 0.5000  0.03
Sb4 0.0000 0.0000 0.2467  0.04
Ni1 0.8720 0.6173 0.8791  0.65
Ni2 0.8720 0.6173 0.1209  0.65
Ni3 0.6199 0.8664 0.6300  0.47
Ni4 0.8664 0.6199 0.3700  0.47
Ni5 0.6173 0.8720 0.1209  0.65
Ni6 0.7452 0.2548 0.7579  0.53
Ni7 0.2548 0.7452 0.7579  0.53
Ni8 0.3827 0.1280 0.8791  0.65
Ni9 0.3801 0.1336 0.6300  0.47
Ni10 0.6173 0.8720 0.8791  0.65
Ni11 0.3801 0.1336 0.3700  0.47
Ni12 0.8664 0.6199 0.6300  0.47
Ni13 0.0000 0.0000 0.5000  0.33
Ni14 0.1280 0.3827 0.1209  0.65
Ni15 0.1280 0.3827 0.8791  0.65
Ni16 0.5000 0.5000 0.5000  0.53
Ni17 0.1336 0.3801 0.6300  0.47
Ni18 0.7452 0.2548 0.2421  0.53
Ni19 0.2548 0.7452 0.2421  0.53
Ni20 0.6199 0.8664 0.3700  0.47
Ni21 0.1336 0.3801 0.3700  0.47
Ni22 0.3827 0.1280 0.1209  0.65
Ni23 0.0000 0.0000 0.0000  0.59
Ni24 0.5000 0.5000 0.0000  0.78

(9)
## TcNi2Sb (meta-GGA SCAN)

Data for a crystal of TcNi2Sb relaxed with PBEsol.

Output
- distance to the lowest polymorph of the same formula (eV per formula unit) = 0.00
- N(E_F) (states/eV/f.u.) = 3.80
- ρ (g/cm³) = 10.07

Lattice parameters (Å, degrees): 3.2309 3.2309 5.3257 90.00 90.00 90.00
Atoms (fractional coordinates):
Tc1 0.5000 0.5000 0.5000
Sb1 0.5000 0.5000 0.0000
Ni1 0.0000 0.0000 0.7321
Ni2 0.0000 0.0000 0.2679

(10)
## TcNiSb2 (meta-GGA SCAN)

Data for a crystal of TcNiSb2 relaxed with PBEsol.

Output
- N(E_F) (states/eV/f.u.) = 0.86
- ρ (g/cm³) = 9.59

Lattice parameters (Å, degrees): 3.5963 3.5963 5.3574 90.00 90.00 90.00
Site moments in Bohr magnetons follow the coordinates.
Atoms (fractional coordinates):
Sb1 0.5000 0.5000 0.3000  0.01
Sb2 0.0000 0.0000 0.9394  0.00
Tc1 0.0000 0.0000 0.4608  0.86
Ni1 0.5000 0.5000 0.7998  -0.03

(11)
## TcNi2Sb (meta-GGA SCAN)

Data for a crystal of TcNi2Sb relaxed with PBEsol.

Output
- distance to the lowest polymorph of the same formula (eV per formula unit) = 0.09
- N(E_F) (states/eV/f.u.) = 4.56
- ρ (g/cm³) = 10.41

Lattice parameters (Å, degrees): 4.2369 4.2369 4.2369 60.00 60.00 60.00
Atoms (fractional coordinates):
Sb1 0.0000 0.0000 0.0000
Ni1 0.7500 0.7500 0.7500
Ni2 0.2500 0.2500 0.2500
Tc1 0.5000 0.5000 0.5000

(12)
## TcNiSb (meta-GGA SCAN)

Data for a crystal of TcNiSb relaxed with PBEsol.

Output
- distance to the lowest polymorph of the same formula (eV per formula unit) = 0.24
- N(E_F) (states/eV/f.u.) = 2.76
- ρ (g/cm³) = 8.94

Lattice parameters (Å, degrees): 4.1825 4.1825 4.1825 60.00 60.00 60.00
Atoms (fractional coordinates):
Ni1 0.5000 0.5000 0.5000
Sb1 0.2500 0.2500 0.2500
Tc1 0.0000 0.0000 0.0000

Number 1: raw formation energy -0.192 eV per atom. Number 2: raw formation energy -0.830 eV per atom. Number 3: raw formation energy -0.757 eV per atom. Number 4: raw formation energy -1.010 eV per atom. Number 5: raw formation energy -0.576 eV per atom. Number 6: raw formation energy 0.467 eV per atom. Number 7: raw formation energy 0.457 eV per atom. Number 8: raw formation energy 0.027 eV per atom. Number 9: raw formation energy 0.256 eV per atom. Number 10: raw formation energy 0.090 eV per atom. Number 11: raw formation energy 0.279 eV per atom. Number 12: raw formation energy 0.347 eV per atom.